Record 1
A crystal of CoRe2Tc relaxed with PBEsol, computed with meta-GGA SCAN.

CIF file:
```
data_CoRe2Tc
_chemical_formula_sum 'Co1 Re2 Tc1'
_symmetry_space_group_name_H-M 'P 1'
_symmetry_Int_Tables_number 1
_cell_length_a 4.254
_cell_length_b 4.254
_cell_length_c 4.254
_cell_angle_alpha 60.00
_cell_angle_beta 60.00
_cell_angle_gamma 60.00
loop_
_symmetry_equiv_pos_as_xyz
'x,y,z'
loop_
_atom_site_label
_atom_site_fract_x
_atom_site_fract_y
_atom_site_fract_z
Co1 0.000 0.000 0.000
Re1 0.250 0.250 0.250
Re2 0.500 0.500 0.500
Tc1 0.750 0.750 0.750
```

Output
DFT formation energy = 0.5 eV/f.u.

Record 2
A crystal of BeSbAs2 relaxed with PBEsol, computed with meta-GGA SCAN.

CIF file:
```
data_BeSbAs2
_chemical_formula_sum 'Be2 Sb2 As4'
_symmetry_space_group_name_H-M 'P 1'
_symmetry_Int_Tables_number 1
_cell_length_a 6.894
_cell_length_b 6.894
_cell_length_c 6.894
_cell_angle_alpha 131.34
_cell_angle_beta 131.34
_cell_angle_gamma 71.27
loop_
_symmetry_equiv_pos_as_xyz
'x,y,z'
loop_
_atom_site_label
_atom_site_fract_x
_atom_site_fract_y
_atom_site_fract_z
Be1 0.000 0.000 0.000
Be2 0.750 0.250 0.500
Sb1 0.250 0.750 0.500
Sb2 0.500 0.500 0.000
As1 0.048 0.625 0.923
As2 0.375 0.298 0.423
As3 0.702 0.125 0.077
As4 0.875 0.952 0.577
```

Output
ΔE_f (raw) = 0.0177 eV/atom

| no. | E above lowest polymorph (eV/atom) |
| --- | --- |
| 1 | 0.057 |
| 2 | 0.016 |